# 1
A geometry-optimized Tl3Se2O8 structure, computed with PBE-GGA.

Values from the calculation:
Total energy = -0.1791 hartree per atom
Space-group type = No. 166
ΔE_f (raw) = -740 meV/atom
DOS at the Fermi energy = 0.24 states/eV/atom

a b c (Å): 5.9387 5.9387 8.1973
angles (deg): 68.76 68.76 60.00
Closest atoms and distances in Å follow each position.
Positions (direct):
O 0.6824 0.6824 0.9528  1 Se 1.65
O 0.2730 0.7368 0.2534  1 Se 1.69
O 0.7368 0.2730 0.2534  1 Se 1.69
O 0.2632 0.7270 0.7466  1 Se 1.69
O 0.2632 0.2632 0.7466  1 Se 1.69
O 0.3176 0.3176 0.0472  1 Se 1.65
O 0.7270 0.2632 0.7466  1 Se 1.69
O 0.7368 0.7368 0.2534  1 Se 1.69
Se 0.6084 0.6084 0.1749  4 O 1.65-1.69
Se 0.3916 0.3916 0.8251  4 O 1.65-1.69
Tl 0.0000 0.0000 0.0000  6 O 2.63
Tl 0.7974 0.7974 0.6078  1 O 2.57
Tl 0.2026 0.2026 0.3922  1 O 2.57

# 2
A geometry-optimized Tl2SeO4 structure, computed with PBE-GGA.

Values from the calculation:
E above lowest polymorph = 2.0 meV/atom
Total energy = -0.1778 hartree per atom
Space-group type = No. 62
ΔE_f (raw) = -832 meV/atom
DOS at the Fermi energy = 0.00 states/eV/atom

a b c (Å): 5.9787 8.1111 11.7111
angles (deg): 90.00 90.00 90.00
Closest atoms and distances in Å follow each position.
Positions (direct):
Se 0.2500 0.2137 0.5706  4 O 1.67-1.69
Se 0.7500 0.7863 0.4294  4 O 1.67-1.69
Se 0.2500 0.7137 0.9294  4 O 1.67-1.69
Se 0.7500 0.2863 0.0706  4 O 1.67-1.69
Tl 0.2500 0.1833 0.9148  5 O 2.78-3.10
Tl 0.2500 0.9684 0.2759  1 O 2.67
Tl 0.7500 0.5316 0.7759  1 O 2.67
Tl 0.7500 0.8167 0.0852  5 O 2.78-3.10
Tl 0.2500 0.6833 0.5852  5 O 2.78-3.10
Tl 0.7500 0.3167 0.4148  5 O 2.78-3.10
Tl 0.2500 0.4684 0.2241  1 O 2.67
Tl 0.7500 0.0316 0.7241  1 O 2.67
O 0.4830 0.8124 0.8856  1 Se 1.69
O 0.7500 0.7844 0.5736  1 Se 1.69
O 0.2500 0.2156 0.4264  1 Se 1.69
O 0.0170 0.8124 0.8856  1 Se 1.69
O 0.9830 0.6876 0.3856  1 Se 1.69
O 0.7500 0.9781 0.3763  1 Se 1.67
O 0.2500 0.0219 0.6237  1 Se 1.67
O 0.7500 0.2844 0.9264  1 Se 1.69
O 0.2500 0.7156 0.0736  1 Se 1.69
O 0.7500 0.4781 0.1237  1 Se 1.67
O 0.4830 0.3124 0.6144  1 Se 1.69
O 0.0170 0.3124 0.6144  1 Se 1.69
O 0.9830 0.1876 0.1144  1 Se 1.69
O 0.5170 0.1876 0.1144  1 Se 1.69
O 0.2500 0.5219 0.8763  1 Se 1.67
O 0.5170 0.6876 0.3856  1 Se 1.69

# 3
A geometry-optimized Tl3SeO structure, computed with PBE-GGA.

Values from the calculation:
E above lowest polymorph = 109.1 meV/atom
Total energy = -0.1238 hartree per atom
Space-group type = No. 221
ΔE_f (raw) = -260 meV/atom
DOS at the Fermi energy = 0.67 states/eV/atom

a b c (Å): 5.1122 5.1122 5.1122
angles (deg): 90.00 90.00 90.00
Closest atoms and distances in Å follow each position.
Positions (direct):
Tl 0.5000 0.0000 0.0000  2 O 2.56
Tl 0.0000 0.5000 0.0000  2 O 2.56
Tl 0.0000 0.0000 0.5000  2 O 2.56
O 0.0000 0.0000 0.0000  6 Tl 2.56
Se 0.5000 0.5000 0.5000  12 Tl 3.61

# 4
A geometry-optimized Tl2SeO4 structure, computed with PBE-GGA.

Values from the calculation:
E above lowest polymorph = 7.1 meV/atom
Total energy = -0.1777 hartree per atom
Space-group type = No. 40
ΔE_f (raw) = -827 meV/atom
DOS at the Fermi energy = 0.00 states/eV/atom

a b c (Å): 6.2363 6.2363 8.3984
angles (deg): 90.00 90.00 116.02
Closest atoms and distances in Å follow each position.
Positions (direct):
Tl 0.9985 0.9983 0.5070  6 O 2.89-2.91
Tl 0.6811 0.3112 0.7565  4 O 2.81-2.88
Tl 0.3112 0.6811 0.2565  4 O 2.81-2.88
Tl 0.9983 0.9985 0.0070  6 O 2.89-2.91
O 0.3435 0.2431 0.2568  1 Se 1.70
O 0.7394 0.2687 0.0937  1 Se 1.67
O 0.2678 0.7389 0.9199  1 Se 1.67
O 0.7503 0.6576 0.2572  1 Se 1.70
O 0.2431 0.3435 0.7568  1 Se 1.70
O 0.2687 0.7394 0.5937  1 Se 1.67
O 0.6576 0.7503 0.7572  1 Se 1.70
O 0.7389 0.2678 0.4199  1 Se 1.67
Se 0.3562 0.6454 0.7569  4 O 1.67-1.70
Se 0.6454 0.3562 0.2569  4 O 1.67-1.70

# 5
A geometry-optimized TlSe2O4 structure, computed with PBE-GGA.

Values from the calculation:
Total energy = -0.1762 hartree per atom
Space-group type = No. 12
ΔE_f (raw) = -627 meV/atom
DOS at the Fermi energy = 0.17 states/eV/atom

a b c (Å): 5.1556 6.7235 5.1556
angles (deg): 107.04 93.18 72.96
Closest atoms and distances in Å follow each position.
Positions (direct):
Se 0.3648 0.2399 0.6352  2 O 1.68
Se 0.6352 0.7601 0.3648  2 O 1.68
O 0.4279 0.2375 0.9571  1 Se 1.68
O 0.5721 0.7625 0.0429  1 Se 1.68
O 0.0429 0.2375 0.5721  1 Se 1.68
O 0.9571 0.7625 0.4279  1 Se 1.68
Tl 0.0000 0.0000 0.0000  8 O 2.95-3.13

# 6
A geometry-optimized TlSe2O8 structure, computed with PBE-GGA.

Values from the calculation:
Total energy = -0.1774 hartree per atom
Space-group type = No. 15
ΔE_f (raw) = -373 meV/atom
DOS at the Fermi energy = 0.46 states/eV/atom

a b c (Å): 7.0484 8.0724 8.7763
angles (deg): 70.80 66.32 64.11
Closest atoms and distances in Å follow each position.
Positions (direct):
Tl 0.0030 0.2500 0.7500  6 O 2.24-2.36
Tl 0.9970 0.7500 0.2500  6 O 2.24-2.36
O 0.2734 0.0344 0.8829  1 Se 1.71
O 0.0704 0.6989 0.9813  1 Se 1.71
O 0.1165 0.9716 0.2348  1 Se 1.70
O 0.2495 0.1989 0.4813  1 Se 1.71
O 0.1907 0.4656 0.6171  1 Se 1.71
O 0.3755 0.7260 0.5771  1 Se 1.64
O 0.3229 0.5284 0.2652  1 Se 1.70
O 0.3214 0.2260 0.0771  1 Se 1.64
O 0.6786 0.7740 0.9229  1 Se 1.64
O 0.6245 0.2740 0.4229  1 Se 1.64
O 0.7505 0.8011 0.5187  1 Se 1.71
O 0.6771 0.4716 0.7348  1 Se 1.70
O 0.9296 0.3011 0.0187  1 Se 1.71
O 0.8093 0.5344 0.3829  1 Se 1.71
O 0.7266 0.9656 0.1171  1 Se 1.71
O 0.8835 0.0284 0.7652  1 Se 1.70
Se 0.6413 0.6340 0.5581  4 O 1.64-1.71
Se 0.1666 0.1340 0.0581  4 O 1.64-1.71
Se 0.3587 0.3660 0.4419  4 O 1.64-1.71
Se 0.8334 0.8660 0.9419  4 O 1.64-1.71